1.
# GdTaAsO PBE-GGA optimized geometry
data_GdTaAsO
_chemical_formula_sum 'Gd2 Ta2 As2 O2'
_symmetry_space_group_name_H-M 'P 1'
_symmetry_Int_Tables_number 1
_symmetry_space_group_name_Hall 'P 1'
_cell_length_a 3.973
_cell_length_b 3.973
_cell_length_c 9.067
_cell_angle_alpha 90.00
_cell_angle_beta 90.00
_cell_angle_gamma 90.00
loop_
_atom_site_label
_atom_site_type_symbol
_atom_site_fract_x
_atom_site_fract_y
_atom_site_fract_z
As1 As 0.750 0.750 0.302
As2 As 0.250 0.250 0.698
Gd1 Gd 0.250 0.250 0.124
Gd2 Gd 0.750 0.750 0.876
O1 O 0.750 0.250 0.000
O2 O 0.250 0.750 0.000
Ta1 Ta 0.750 0.250 0.500
Ta2 Ta 0.250 0.750 0.500
# Offset from the most stable computed form ... 0.0 meV/atom
# DFT total energy ... -8.3703 eV/atom
# Space group ... No. 129


2.
# GdTaAsO PBE-GGA optimized geometry
data_GdTaAsO
_chemical_formula_sum 'Gd2 Ta2 As2 O2'
_symmetry_space_group_name_H-M 'P 1'
_symmetry_Int_Tables_number 1
_symmetry_space_group_name_Hall 'P 1'
_cell_length_a 4.151
_cell_length_b 4.960
_cell_length_c 6.755
_cell_angle_alpha 90.00
_cell_angle_beta 90.00
_cell_angle_gamma 90.00
loop_
_atom_site_label
_atom_site_type_symbol
_atom_site_fract_x
_atom_site_fract_y
_atom_site_fract_z
As1 As 0.000 0.360 0.289
As2 As 0.000 0.640 0.789
Gd1 Gd 0.500 0.682 0.093
Gd2 Gd 0.500 0.318 0.593
O1 O 0.500 0.872 0.434
O2 O 0.500 0.128 0.934
Ta1 Ta 0.000 0.868 0.438
Ta2 Ta 0.000 0.132 0.938
# Offset from the most stable computed form ... 218.1 meV/atom
# DFT total energy ... -8.1522 eV/atom
# Space group ... No. 26


3.
# GdTaAsO PBE-GGA optimized geometry
data_GdTaAsO
_chemical_formula_sum 'Gd2 Ta2 As2 O2'
_symmetry_space_group_name_H-M 'P 1'
_symmetry_Int_Tables_number 1
_symmetry_space_group_name_Hall 'P 1'
_cell_length_a 4.114
_cell_length_b 4.114
_cell_length_c 7.969
_cell_angle_alpha 90.00
_cell_angle_beta 90.00
_cell_angle_gamma 90.00
loop_
_atom_site_label
_atom_site_type_symbol
_atom_site_fract_x
_atom_site_fract_y
_atom_site_fract_z
As1 As 0.000 0.500 0.242
As2 As 0.500 0.000 0.758
Gd1 Gd 0.000 0.000 0.500
Gd2 Gd 0.500 0.500 0.500
O1 O 0.000 0.000 0.000
O2 O 0.500 0.500 0.000
Ta1 Ta 0.500 0.000 0.104
Ta2 Ta 0.000 0.500 0.896
# Offset from the most stable computed form ... 1089.2 meV/atom
# DFT total energy ... -7.2810 eV/atom
# Space group ... No. 129